w:
4
Lattice="-0.928 -1.013 3.698 3.099 -1.667 -1.783 5.584 6.870 3.283" Properties=species:S:1:pos:R:3 comment="La3P, relaxed, DFT PBEsol" dos_at_fermi_per_ev_fu=2.92 magmom_total_mub_per_fu=0.0 pbc="T T T"
La 1.727 2.125 1.015
La 3.857 4.745 2.267
La 1.757 -1.449 0.044
P 4.549 1.986 1.685

***

x:
16
Lattice="-0.179 6.117 -0.155 -7.258 -0.150 2.458 3.037 0.317 8.987" Properties=species:S:1:pos:R:3 comment="La3P, relaxed, DFT PBEsol" dos_at_fermi_per_ev_fu=3.55 magmom_total_mub_per_fu=0.0 pbc="T T T"
La 1.975 1.011 6.815
La -2.702 3.848 3.284
La -1.698 2.436 8.006
La -6.375 5.272 4.475
La 1.382 4.077 8.983
La -2.107 0.712 1.117
La -3.551 5.440 6.451
La -4.524 2.337 6.029
La -5.782 2.206 2.306
La -2.293 5.571 10.173
La -0.849 0.844 4.839
La 0.124 3.946 5.261
P -4.348 3.742 8.856
P -3.626 0.569 3.712
P -0.774 5.714 7.578
P -0.053 2.542 2.434

***

Most stable structure - x; separation to the second - 0.221 eV/atom.